No. 1
! SmGa4Ir2Rh | Alexandria via LeMat-Bulk | PBE-GGA | optimized geometry; values from VASP
&SYSTEM
  ibrav = 0, nat = 8, ntyp = 4
/
ATOMIC_SPECIES
Rh 102.91 Rh.upf
Sm 150.36 Sm.upf
Ga 69.72 Ga.upf
Ir 192.22 Ir.upf
CELL_PARAMETERS angstrom
4.261 0.000 0.000
2.131 3.690 0.000
2.131 1.230 8.658
ATOMIC_POSITIONS crystal
Rh 0.500 0.500 0.500
Sm 0.000 0.000 0.000
Ga 0.600 0.600 0.200
Ga 0.868 0.868 0.395
Ga 0.132 0.132 0.605
Ga 0.400 0.400 0.800
Ir 0.236 0.236 0.293
Ir 0.764 0.764 0.707
! * energy of formation from the pure elements: -623 meV/atom
! * volume: 17.020 Å³ per atom
! * DFT total energy: -5.860 eV/atom

No. 2
! SrCdCo2 | Alexandria via LeMat-Bulk | PBE-GGA | optimized geometry; values from VASP
&SYSTEM
  ibrav = 0, nat = 4, ntyp = 3
/
ATOMIC_SPECIES
Cd 112.41 Cd.upf
Co 58.93 Co.upf
Sr 87.62 Sr.upf
CELL_PARAMETERS angstrom
3.865 0.000 0.000
0.000 4.240 -0.004
0.000 2.123 5.178
ATOMIC_POSITIONS crystal
Cd 0.500 0.760 0.855
Co 0.500 0.085 0.206
Co 0.000 0.185 0.004
Sr 0.000 0.470 0.435
! * energy of formation from the pure elements: 297 meV/atom
! * volume: 21.218 Å³ per atom
! * DFT total energy: -3.905 eV/atom